## i
The following is a DFT calculation (PBE with a Hubbard U) of crystalline HfCrIO2 at its relaxed geometry.

a b c (Å): 4.077 4.077 6.086
angles (deg): 90.00 90.00 90.00
Element x y z (fractional)
Hf1 0.000 0.000 0.000
Cr1 0.500 0.500 0.500
I1 0.000 0.000 0.500
O1 0.000 0.500 0.000
O2 0.500 0.000 0.000

## Properties
Total moment, μB/f.u.: 5.00
Fermi-level density of states, states/eV/cell: 0.4
Crystal system: tetragonal



## ii
The following is a DFT calculation (PBE with a Hubbard U) of crystalline HfCrIO2 at its relaxed geometry.

a b c (Å): 4.046 4.046 5.148
angles (deg): 90.00 90.00 90.00
Element x y z (fractional)
Hf1 0.000 0.000 0.000
Cr1 0.500 0.500 0.500
I1 0.500 0.500 0.000
O1 0.000 0.500 0.500
O2 0.500 0.000 0.500

## Properties
Total moment, μB/f.u.: 3.72
Fermi-level density of states, states/eV/cell: 2.8
Crystal system: tetragonal



Stability summary - winner: i; margin: 1292 meV per atom.